Entry 1:
First-principles (meta-GGA SCAN) data for a PBEsol-optimized structure of Ti9S10, as listed in the Alexandria database.

Properties
As for the space group: P1 (1). The calculation puts the uncorrected formation energy at -1.58 eV/atom.

Cell and atoms, written as POSCAR:
```
Ti9S10
1.0
8.882 -0.001 0.000
0.632 8.957 -0.007
3.808 2.246 10.752
Ti S
27 30
direct
0.197 0.647 0.260 Ti
0.794 0.352 0.243 Ti
0.201 0.994 0.701 Ti
0.397 0.997 0.400 Ti
0.201 0.350 0.644 Ti
0.999 0.997 0.001 Ti
0.997 0.648 0.558 Ti
0.211 0.361 0.134 Ti
0.396 0.352 0.840 Ti
0.601 0.993 0.100 Ti
0.612 0.642 0.653 Ti
0.991 0.356 0.947 Ti
0.813 0.357 0.743 Ti
0.589 0.361 0.537 Ti
0.603 0.351 0.042 Ti
0.386 0.642 0.458 Ti
0.800 0.647 0.858 Ti
0.002 0.642 0.069 Ti
0.798 0.999 0.801 Ti
0.199 0.002 0.202 Ti
0.802 0.000 0.300 Ti
0.001 0.007 0.497 Ti
0.600 0.000 0.602 Ti
0.403 0.351 0.339 Ti
0.402 0.645 0.957 Ti
0.404 0.997 0.898 Ti
0.806 0.646 0.359 Ti
0.198 0.513 0.938 S
0.800 0.830 0.660 S
0.199 0.829 0.064 S
0.002 0.480 0.264 S
0.002 0.170 0.640 S
0.398 0.826 0.262 S
0.199 0.168 0.840 S
0.801 0.825 0.164 S
0.601 0.826 0.962 S
0.401 0.172 0.038 S
0.402 0.826 0.761 S
0.414 0.514 0.149 S
0.599 0.168 0.238 S
0.598 0.517 0.338 S
0.787 0.516 0.058 S
0.812 0.480 0.544 S
0.000 0.827 0.863 S
0.801 0.171 0.940 S
0.796 0.174 0.438 S
0.000 0.830 0.362 S
0.201 0.175 0.336 S
0.599 0.174 0.737 S
0.388 0.516 0.654 S
0.017 0.514 0.751 S
0.001 0.174 0.137 S
0.184 0.482 0.451 S
0.602 0.496 0.848 S
0.601 0.828 0.462 S
0.196 0.828 0.561 S
0.400 0.170 0.538 S
```

***

Entry 2:
First-principles (meta-GGA SCAN) data for a PBEsol-optimized structure of CsTcSb2Te, as listed in the Alexandria database.

Properties
As for the space group: P4/mmm (123). The calculation puts the uncorrected formation energy at 2.18 eV/atom.

Cell and atoms, written as POSCAR:
```
CsTcSb2Te
1.0
-4.206 1.394 -4.023
-4.227 -2.048 3.709
-0.509 5.401 2.403
Sb Cs Te Tc
2 1 1 1
direct
0.500 0.000 0.000 Sb
0.000 0.500 0.000 Sb
0.000 0.000 0.000 Cs
0.000 0.000 0.500 Te
0.500 0.500 0.500 Tc
```